1.
Below is Al2AgP after structural relaxation, with properties calculated at the PBE level.

Output
- crystal system = monoclinic
- theoretical density (kg/m³) = 4504
- calculated formation energy (eV/atom) = -0.09

```
Al2AgP
1.0
3.0188 -1.7486 0.0000
3.0188 1.7486 0.0000
-2.0137 0.0000 6.7336
Al Ag P
2 1 1
Direct
0.2375 0.2375 0.2141
0.7625 0.7625 0.7859
0.0000 0.0000 0.5000
0.5000 0.5000 0.0000
```

2.
Below is AlAgP after structural relaxation, with properties calculated at the PBE level.

Output
- crystal system = orthorhombic
- energy above the most stable polymorph in this dataset (eV per atom) = 0.238
- theoretical density (kg/m³) = 5369
- calculated formation energy (eV/atom) = 0.19

```
AlAgP
1.0
0.0000 2.3783 5.8938
1.8293 0.0000 5.8938
1.8293 2.3783 0.0000
Al Ag P
1 1 1
Direct
0.0000 0.0000 0.0000
0.6685 0.6685 0.3315
0.3647 0.3647 0.6353
```

3.
Below is AlAg3P after structural relaxation, with properties calculated at the PBE level.

Output
- crystal system = cubic
- energy above the most stable polymorph in this dataset (eV per atom) = 0.000
- theoretical density (kg/m³) = 5657
- calculated formation energy (eV/atom) = 0.40

```
AlAg3P
1.0
4.8203 0.0000 0.0000
0.0000 4.8203 0.0000
0.0000 0.0000 4.8203
Al Ag P
1 3 1
Direct
0.0000 0.0000 0.0000
0.0000 0.5000 0.5000
0.5000 0.0000 0.5000
0.5000 0.5000 0.0000
0.5000 0.5000 0.5000
```

4.
Below is Al2AgP after structural relaxation, with properties calculated at the PBE level.

Output
- crystal system = orthorhombic
- theoretical density (kg/m³) = 4916
- calculated formation energy (eV/atom) = 0.08

```
Al2AgP
1.0
3.0172 0.0000 0.0000
0.0000 3.2232 0.0000
0.0000 0.0000 6.6970
Al Ag P
2 1 1
Direct
0.0000 0.0000 0.2197
0.0000 0.0000 0.7803
0.5000 0.5000 0.5000
0.5000 0.5000 0.0000
```

5.
Below is Al3AgP after structural relaxation, with properties calculated at the PBE level.

Output
- crystal system = cubic
- energy above the most stable polymorph in this dataset (eV per atom) = 0.213
- theoretical density (kg/m³) = 3306
- calculated formation energy (eV/atom) = 0.66

```
Al3AgP
1.0
4.7972 0.0000 0.0000
0.0000 4.7972 0.0000
0.0000 0.0000 4.7972
Al Ag P
3 1 1
Direct
0.0000 0.0000 0.5000
0.0000 0.5000 0.0000
0.5000 0.0000 0.0000
0.0000 0.0000 0.0000
0.5000 0.5000 0.5000
```

6.
Below is Al2AgP after structural relaxation, with properties calculated at the PBE level.

Output
- crystal system = monoclinic
- theoretical density (kg/m³) = 4364
- calculated formation energy (eV/atom) = 0.11

```
Al2AgP
1.0
4.5578 -2.6472 0.0000
4.5578 2.6472 0.0000
-4.3277 0.0000 9.1216
Al Ag P
6 3 3
Direct
0.0000 0.0000 0.0000
0.0253 0.5315 0.0510
0.1707 0.6780 0.5378
0.5315 0.0253 0.0510
0.6026 0.6026 0.3596
0.6780 0.1707 0.5378
0.1008 0.1008 0.7966
0.2706 0.2706 0.2781
0.7233 0.7233 0.7493
0.0832 0.0832 0.4130
0.2666 0.2666 0.6430
0.5458 0.5458 0.0952
```

7.
Below is AlAgP after structural relaxation, with properties calculated at the PBE level.

Output
- crystal system = tetragonal
- energy above the most stable polymorph in this dataset (eV per atom) = 0.112
- theoretical density (kg/m³) = 5197
- calculated formation energy (eV/atom) = 0.07

```
AlAgP
1.0
4.0972 0.0000 0.0000
0.0000 4.0972 0.0000
0.0000 0.0000 6.3123
Al Ag P
2 2 2
Direct
0.2500 0.7500 0.0000
0.7500 0.2500 0.0000
0.2500 0.2500 0.3746
0.7500 0.7500 0.6254
0.2500 0.2500 0.7771
0.7500 0.7500 0.2229
```

8.
Below is Al2AgP after structural relaxation, with properties calculated at the PBE level.

Output
- crystal system = monoclinic
- theoretical density (kg/m³) = 4513
- calculated formation energy (eV/atom) = -0.06

```
Al2AgP
1.0
3.4865 0.0000 0.0000
0.0000 3.5080 0.0000
-1.7001 0.0000 5.8001
Al Ag P
2 1 1
Direct
0.0000 0.0000 0.0000
0.3338 0.5000 0.6594
0.7517 0.0000 0.4892
0.5344 0.5000 0.0722
```

Number 1: size of the total moment 0.0 μB/f.u.. Number 2: size of the total moment 0.0 μB/f.u.. Number 3: size of the total moment 0.0 μB/f.u.. Number 4: size of the total moment 0.0 μB/f.u.. Number 5: size of the total moment 0.0 μB/f.u.. Number 6: size of the total moment 0.0 μB/f.u.. Number 7: size of the total moment 0.0 μB/f.u.. Number 8: size of the total moment 0.0 μB/f.u..